Record 1
Entry from the Alexandria database: a geometry-optimized LuPaCdIn structure (PBE).

Cell lengths 5.264, 5.264, 5.264 Å; angles 60.00, 60.00, 60.00 degrees
Positions (direct):
1 In 0.250 0.250 0.250
2 Pa 0.500 0.500 0.500
3 Lu 0.000 0.000 0.000
4 Cd 0.750 0.750 0.750

Properties
DOS(E_F), states/eV/f.u.: 6.7
Space-group type: F-43m (216)
E_form, meV per atom: 7
Mass density, Mg/m³: 10.20
Calculated volume, Å³/cell: 103.1


Record 2
Entry from the Alexandria database: a geometry-optimized CdGaAgGe structure (PBE).

Cell lengths 4.826, 4.826, 4.826 Å; angles 60.00, 60.00, 60.00 degrees
Positions (direct):
1 Ge 0.250 0.250 0.250
2 Ga 0.000 0.000 0.000
3 Ag 0.750 0.750 0.750
4 Cd 0.500 0.500 0.500

Properties
DOS(E_F), states/eV/f.u.: 2.4
Space-group type: F-43m (216)
E_form, meV per atom: 181
Mass density, Mg/m³: 7.58
Calculated volume, Å³/cell: 79.5


Record 3
Entry from the Alexandria database: a geometry-optimized NaFeS2 structure (PBE).

Cell lengths 6.949, 6.949, 6.949 Å; angles 134.33, 118.62, 79.76 degrees
Positions (direct):
1 Na 0.694 0.694 0.000
2 Na 0.306 0.306 0.000
3 Fe 0.000 0.000 0.000
4 Fe 0.000 0.500 0.500
5 S 0.083 0.149 0.438
6 S 0.711 0.645 0.562
7 S 0.917 0.355 0.066
8 S 0.289 0.851 0.934

Properties
DOS(E_F), states/eV/f.u.: 2.2
Formation energy without anion corrections, eV/f.u.: -2.4
Space-group type: I222 (23)
Mass density, Mg/m³: 2.33
Calculated volume, Å³/cell: 204.0


Record 4
Entry from the Alexandria database: a geometry-optimized TlSbC structure (PBE).

Cell lengths 4.652, 6.547, 6.624 Å; angles 60.58, 85.38, 76.48 degrees
Positions (direct):
1 Sb 0.530 0.391 0.790
2 Sb 0.427 0.783 0.329
3 Tl 0.800 0.113 0.381
4 Tl 0.004 0.688 0.051
5 C 0.962 0.191 0.754
6 C 0.224 0.213 0.754

Properties
DOS(E_F), states/eV/f.u.: 0.2
Formation energy without anion corrections, eV/f.u.: 2.0
Space-group type: P1 (1)
Energy above the most stable polymorph in this dataset, eV per formula unit: 0.13
Mass density, Mg/m³: 6.58
Calculated volume, Å³/cell: 170.7


Record 5
Entry from the Alexandria database: a geometry-optimized MgVPdPb2 structure (PBE).

Cell lengths 5.281, 4.864, 5.281 Å; angles 90.00, 90.00, 90.00 degrees
Positions (direct):
1 Pb 0.000 0.000 0.500
2 Pb 0.500 0.000 0.000
3 Mg 0.000 0.500 0.000
4 Pd 0.000 0.000 0.000
5 V 0.500 0.500 0.500

Properties
DOS(E_F), states/eV/f.u.: 5.5
Space-group type: P4/mmm (123)
E_form, meV per atom: 744
Mass density, Mg/m³: 7.30
Calculated volume, Å³/cell: 135.6


Record 6
Entry from the Alexandria database: a geometry-optimized LaY2ErSe4 structure (PBE).

Cell lengths 4.079, 7.132, 7.255 Å; angles 71.20, 90.00, 90.00 degrees
Positions (direct):
1 La 0.500 0.500 0.000
2 Y 0.000 0.000 0.000
3 Y 0.500 0.000 0.500
4 Er 0.000 0.500 0.500
5 Se 0.000 0.760 0.736
6 Se 0.000 0.240 0.264
7 Se 0.500 0.752 0.259
8 Se 0.500 0.248 0.741

Properties
DOS(E_F), states/eV/f.u.: 4.9
Formation energy without anion corrections, eV/f.u.: -14.4
Space-group type: P2/m (10)
Mass density, Mg/m³: 6.65
Calculated volume, Å³/cell: 199.8


Record 7
Entry from the Alexandria database: a geometry-optimized DyFe2Si2B structure (PBE).

Cell lengths 3.881, 3.881, 5.206 Å; angles 90.00, 90.00, 90.00 degrees
Positions (direct):
1 Dy 0.000 0.000 0.500
2 Fe 0.500 0.000 0.000
3 Fe 0.000 0.500 0.000
4 Si 0.500 0.500 0.731
5 Si 0.500 0.500 0.269
6 B 0.000 0.000 0.000

Properties
DOS(E_F), states/eV/f.u.: 2.7
Formation energy without anion corrections, eV/f.u.: -3.5
Space-group type: P4/mmm (123)
Mass density, Mg/m³: 7.22
Calculated volume, Å³/cell: 78.4


Record 8
Entry from the Alexandria database: a geometry-optimized Pr3TcC3 structure (PBE).

Cell lengths 5.456, 7.058, 7.062 Å; angles 101.15, 90.00, 90.00 degrees
Positions (direct):
1 Pr 0.250 0.588 0.828
2 Pr 0.250 0.172 0.412
3 Pr 0.250 0.109 0.891
4 Pr 0.750 0.412 0.172
5 Pr 0.750 0.828 0.588
6 Pr 0.750 0.891 0.109
7 Tc 0.750 0.304 0.696
8 Tc 0.250 0.696 0.304
9 C 0.750 0.571 0.823
10 C 0.750 0.177 0.429
11 C 0.750 0.125 0.874
12 C 0.250 0.429 0.177
13 C 0.250 0.823 0.571
14 C 0.250 0.875 0.126

Properties
DOS(E_F), states/eV/f.u.: 2.8
Space-group type: Cmcm (63)
E_form, meV per atom: -152
Mass density, Mg/m³: 6.93
Calculated volume, Å³/cell: 266.8


no.,spin magnetization (μB per atom)
1,0.269
2,0.000
3,0.660
4,0.000
5,0.028
6,0.000
7,0.000
8,0.000